No. 1
Here is a relaxed Pm3Nd6DyTm2 crystal from Alexandria. Energies are from PBE.

As for the magnetization: 0.00 μB/f.u. As for the raw total energy: -4.69 eV/atom. The value obtained for the volume is 404.89 Å³ per cell.

abc: 6.3024 6.3024 11.9574
angles: 95.03 95.03 120.01
Closest atoms and distances in Å follow each position.
Fractional positions:
Pm 0.5000 0.5000 0.5000  6 Pm 3.64, 6 Nd 3.66
Pm 0.8333 0.1667 0.5000  6 Pm 3.64, 6 Nd 3.65-3.66
Pm 0.1667 0.8333 0.5000  6 Pm 3.64, 6 Nd 3.65-3.66
Tm 0.3334 0.6666 0.0000  6 Nd 3.57-3.58, 3 Tm 3.64, 3 Dy 3.64
Tm 0.6666 0.3334 0.0000  6 Nd 3.57-3.58, 3 Tm 3.64, 3 Dy 3.64
Dy 0.0000 0.0000 0.0000  6 Nd 3.57-3.58, 6 Tm 3.64
Nd 0.4164 0.0826 0.2459  2 Tm 3.57-3.58, 1 Dy 3.58, 6 Nd 3.64, 3 Pm 3.65-3.66
Nd 0.2511 0.2511 0.7542  1 Dy 3.57, 2 Tm 3.58, 6 Nd 3.64, 3 Pm 3.66
Nd 0.0826 0.4164 0.2459  2 Tm 3.57-3.58, 1 Dy 3.58, 6 Nd 3.64, 3 Pm 3.65-3.66
Nd 0.5836 0.9174 0.7541  2 Tm 3.57-3.58, 1 Dy 3.58, 6 Nd 3.64, 3 Pm 3.65-3.66
Nd 0.7489 0.7489 0.2458  1 Dy 3.57, 2 Tm 3.58, 6 Nd 3.64, 3 Pm 3.66
Nd 0.9174 0.5836 0.7541  2 Tm 3.57-3.58, 1 Dy 3.58, 6 Nd 3.64, 3 Pm 3.65-3.66

=====

No. 2
Here is a relaxed PmNd4Dy2Tm crystal from Alexandria. Energies are from PBE.

As for the magnetization: 0.00 μB/f.u. As for the raw total energy: -4.67 eV/atom. The value obtained for the volume is 267.18 Å³ per cell.

abc: 3.6320 6.2663 11.9292
angles: 79.77 90.00 90.00
Closest atoms and distances in Å follow each position.
Fractional positions:
Tm 0.5000 0.5000 0.0000  6 Nd 3.58-3.59, 4 Dy 3.62, 2 Tm 3.63
Dy 0.0000 0.0000 0.0000  6 Nd 3.58, 4 Tm 3.62, 2 Dy 3.63
Dy 0.5000 0.0000 0.5000  4 Pm 3.62, 6 Nd 3.62-3.63, 2 Dy 3.63
Nd 0.0000 0.2494 0.2478  3 Dy 3.58-3.62, 2 Tm 3.59, 6 Nd 3.62-3.63, 1 Pm 3.63
Nd 0.5000 0.2502 0.7524  1 Tm 3.58, 3 Dy 3.58-3.63, 6 Nd 3.62-3.63, 2 Pm 3.63
Nd 0.5000 0.7498 0.2476  1 Tm 3.58, 3 Dy 3.58-3.63, 6 Nd 3.62-3.63, 2 Pm 3.63
Nd 0.0000 0.7506 0.7521  3 Dy 3.58-3.62, 2 Tm 3.59, 6 Nd 3.62-3.63, 1 Pm 3.63
Pm 0.0000 0.5000 0.5000  4 Dy 3.62, 6 Nd 3.63, 2 Pm 3.63